1.
! Li2CaTl4, relaxed, DFT GGA-PBE; values from VASP
&SYSTEM
  ibrav = 0, nat = 14, ntyp = 3
/
ATOMIC_SPECIES
Li 6.94 Li.upf
Ca 40.08 Ca.upf
Tl 204.38 Tl.upf
CELL_PARAMETERS angstrom
6.130 0.000 0.000
0.000 7.616 0.000
0.000 0.000 7.664
ATOMIC_POSITIONS crystal
Li 0.250 0.000 0.000
Li 0.250 0.500 0.500
Li 0.750 0.000 0.000
Li 0.750 0.500 0.500
Ca 0.000 0.000 0.500
Ca 0.500 0.500 0.000
Tl 0.000 0.298 0.201
Tl 0.000 0.298 0.799
Tl 0.000 0.702 0.201
Tl 0.000 0.702 0.799
Tl 0.500 0.202 0.299
Tl 0.500 0.202 0.701
Tl 0.500 0.798 0.299
Tl 0.500 0.798 0.701
! * calculated volume: 25.56 Å³ per atom
! * ΔE_f: -5.00 kcal/mol of atoms
! * SG: Immm, No. 71
! * magnetization: 0.00 μB per cell

=====

2.
! Li2CaTl, relaxed, DFT GGA-PBE; values from VASP
&SYSTEM
  ibrav = 0, nat = 4, ntyp = 3
/
ATOMIC_SPECIES
Li 6.94 Li.upf
Ca 40.08 Ca.upf
Tl 204.38 Tl.upf
CELL_PARAMETERS angstrom
3.790 0.000 0.000
0.000 3.790 0.000
0.000 0.000 6.962
ATOMIC_POSITIONS crystal
Li 0.000 0.000 0.201
Li 0.000 0.000 0.799
Ca 0.500 0.500 0.500
Tl 0.500 0.500 0.000
! * calculated volume: 25.01 Å³ per atom
! * ΔE_f: -3.28 kcal/mol of atoms
! * SG: P4/mmm, No. 123
! * magnetization: 0.00 μB per cell

=====

3.
! Li3Ca3Tl2, relaxed, DFT GGA-PBE; values from VASP
&SYSTEM
  ibrav = 0, nat = 32, ntyp = 3
/
ATOMIC_SPECIES
Li 6.94 Li.upf
Ca 40.08 Ca.upf
Tl 204.38 Tl.upf
CELL_PARAMETERS angstrom
8.617 0.000 0.000
0.000 16.800 0.000
0.000 0.000 6.167
ATOMIC_POSITIONS crystal
Li 0.171 0.250 0.131
Li 0.174 0.535 0.095
Li 0.174 0.965 0.095
Li 0.326 0.035 0.595
Li 0.326 0.465 0.595
Li 0.329 0.750 0.631
Li 0.671 0.250 0.369
Li 0.674 0.535 0.405
Li 0.674 0.965 0.405
Li 0.826 0.035 0.905
Li 0.826 0.465 0.905
Li 0.829 0.750 0.869
Ca 0.034 0.605 0.622
Ca 0.034 0.895 0.622
Ca 0.161 0.750 0.146
Ca 0.339 0.250 0.646
Ca 0.466 0.105 0.122
Ca 0.466 0.395 0.122
Ca 0.534 0.605 0.878
Ca 0.534 0.895 0.878
Ca 0.661 0.750 0.354
Ca 0.839 0.250 0.854
Ca 0.966 0.105 0.378
Ca 0.966 0.395 0.378
Tl 0.119 0.110 0.871
Tl 0.119 0.390 0.871
Tl 0.381 0.610 0.371
Tl 0.381 0.890 0.371
Tl 0.619 0.110 0.629
Tl 0.619 0.390 0.629
Tl 0.881 0.610 0.129
Tl 0.881 0.890 0.129
! * calculated volume: 27.90 Å³ per atom
! * ΔE_f: -5.29 kcal/mol of atoms
! * SG: Pnma, No. 62
! * magnetization: 0.00 μB per cell
! * excess energy over the best structure of this formula in the dataset: 0.0000 eV/atom

=====

4.
! LiCa2Tl2, relaxed, DFT GGA-PBE; values from VASP
&SYSTEM
  ibrav = 0, nat = 10, ntyp = 3
/
ATOMIC_SPECIES
Li 6.94 Li.upf
Ca 40.08 Ca.upf
Tl 204.38 Tl.upf
CELL_PARAMETERS angstrom
8.966 0.000 0.000
0.000 8.966 0.000
0.000 0.000 3.827
ATOMIC_POSITIONS crystal
Li 0.000 0.000 0.000
Li 0.500 0.500 0.000
Ca 0.151 0.349 0.000
Ca 0.349 0.849 0.000
Ca 0.651 0.151 0.000
Ca 0.849 0.651 0.000
Tl 0.147 0.647 0.500
Tl 0.353 0.147 0.500
Tl 0.647 0.853 0.500
Tl 0.853 0.353 0.500
! * calculated volume: 30.76 Å³ per atom
! * ΔE_f: -4.49 kcal/mol of atoms
! * SG: P4/mbm, No. 127
! * magnetization: 0.00 μB per cell
! * excess energy over the best structure of this formula in the dataset: 0.1166 eV/atom

=====

5.
! Li6CaTl6, relaxed, DFT GGA-PBE; values from VASP
&SYSTEM
  ibrav = 0, nat = 13, ntyp = 3
/
ATOMIC_SPECIES
Li 6.94 Li.upf
Ca 40.08 Ca.upf
Tl 204.38 Tl.upf
CELL_PARAMETERS angstrom
-2.960 4.901 4.962
2.960 -4.901 4.962
2.960 4.901 -4.962
ATOMIC_POSITIONS crystal
Li 0.000 0.000 0.500
Li 0.000 0.500 0.000
Li 0.238 0.000 0.238
Li 0.500 0.000 0.000
Li 0.500 0.500 0.500
Li 0.762 0.000 0.762
Ca 0.000 0.500 0.500
Tl 0.183 0.183 0.000
Tl 0.342 0.500 0.842
Tl 0.342 0.842 0.500
Tl 0.658 0.158 0.500
Tl 0.658 0.500 0.158
Tl 0.817 0.817 0.000
! * calculated volume: 22.15 Å³ per atom
! * ΔE_f: -5.39 kcal/mol of atoms
! * SG: Immm, No. 71
! * magnetization: 0.00 μB per cell

=====

6.
! Li2Ca3Tl4, relaxed, DFT GGA-PBE; values from VASP
&SYSTEM
  ibrav = 0, nat = 9, ntyp = 3
/
ATOMIC_SPECIES
Li 6.94 Li.upf
Ca 40.08 Ca.upf
Tl 204.38 Tl.upf
CELL_PARAMETERS angstrom
5.626 -2.528 0.000
5.626 2.528 0.000
-4.307 0.000 8.475
ATOMIC_POSITIONS crystal
Li 0.137 0.137 0.309
Li 0.863 0.863 0.691
Ca 0.157 0.157 0.673
Ca 0.500 0.500 0.000
Ca 0.843 0.843 0.327
Tl 0.222 0.222 0.075
Tl 0.434 0.434 0.613
Tl 0.566 0.566 0.387
Tl 0.778 0.778 0.925
! * calculated volume: 26.79 Å³ per atom
! * ΔE_f: -7.44 kcal/mol of atoms
! * SG: C2/m, No. 12
! * magnetization: 0.00 μB per cell
! * excess energy over the best structure of this formula in the dataset: 0.0051 eV/atom

=====

7.
! Li2Ca3Tl, relaxed, DFT GGA-PBE; values from VASP
&SYSTEM
  ibrav = 0, nat = 6, ntyp = 3
/
ATOMIC_SPECIES
Li 6.94 Li.upf
Ca 40.08 Ca.upf
Tl 204.38 Tl.upf
CELL_PARAMETERS angstrom
3.938 0.000 0.000
0.000 3.938 0.000
0.000 0.000 11.796
ATOMIC_POSITIONS crystal
Li 0.000 0.000 0.171
Li 0.000 0.000 0.829
Ca 0.500 0.500 0.000
Ca 0.500 0.500 0.341
Ca 0.500 0.500 0.659
Tl 0.000 0.000 0.500
! * calculated volume: 30.49 Å³ per atom
! * ΔE_f: -3.49 kcal/mol of atoms
! * SG: P4/mmm, No. 123
! * magnetization: 0.00 μB per cell
! * excess energy over the best structure of this formula in the dataset: 0.0319 eV/atom

=====

8.
! Li7Ca2Tl, relaxed, DFT GGA-PBE; values from VASP
&SYSTEM
  ibrav = 0, nat = 10, ntyp = 3
/
ATOMIC_SPECIES
Li 6.94 Li.upf
Ca 40.08 Ca.upf
Tl 204.38 Tl.upf
CELL_PARAMETERS angstrom
0.000 5.091 5.091
5.091 0.000 5.091
5.091 5.091 0.000
ATOMIC_POSITIONS crystal
Li 0.000 0.000 0.000
Li 0.244 0.244 0.756
Li 0.244 0.756 0.244
Li 0.244 0.756 0.756
Li 0.756 0.244 0.244
Li 0.756 0.244 0.756
Li 0.756 0.756 0.244
Ca 0.250 0.250 0.250
Ca 0.750 0.750 0.750
Tl 0.500 0.500 0.500
! * calculated volume: 26.39 Å³ per atom
! * ΔE_f: 1.98 kcal/mol of atoms
! * SG: Fm-3m, No. 225
! * magnetization: 0.00 μB per cell

=====

9.
! Li3Ca2Tl8, relaxed, DFT GGA-PBE; values from VASP
&SYSTEM
  ibrav = 0, nat = 13, ntyp = 3
/
ATOMIC_SPECIES
Li 6.94 Li.upf
Ca 40.08 Ca.upf
Tl 204.38 Tl.upf
CELL_PARAMETERS angstrom
6.928 -5.211 0.000
6.928 5.211 0.000
-0.973 0.000 4.976
ATOMIC_POSITIONS crystal
Li 0.000 0.000 0.000
Li 0.244 0.756 0.500
Li 0.756 0.244 0.500
Ca 0.290 0.290 0.153
Ca 0.710 0.710 0.847
Tl 0.101 0.640 0.922
Tl 0.127 0.127 0.566
Tl 0.360 0.899 0.078
Tl 0.436 0.436 0.717
Tl 0.564 0.564 0.283
Tl 0.640 0.101 0.922
Tl 0.873 0.873 0.434
Tl 0.899 0.360 0.078
! * calculated volume: 27.64 Å³ per atom
! * ΔE_f: -3.31 kcal/mol of atoms
! * SG: C2/m, No. 12
! * magnetization: 0.00 μB per cell
! * excess energy over the best structure of this formula in the dataset: 0.0000 eV/atom

=====

10.
! Li4CaTl4, relaxed, DFT GGA-PBE; values from VASP
&SYSTEM
  ibrav = 0, nat = 18, ntyp = 3
/
ATOMIC_SPECIES
Li 6.94 Li.upf
Ca 40.08 Ca.upf
Tl 204.38 Tl.upf
CELL_PARAMETERS angstrom
6.518 0.000 0.000
0.000 6.518 0.000
0.000 0.000 10.072
ATOMIC_POSITIONS crystal
Li 0.031 0.250 0.176
Li 0.250 0.031 0.676
Li 0.250 0.469 0.676
Li 0.469 0.250 0.176
Li 0.531 0.750 0.824
Li 0.750 0.531 0.324
Li 0.750 0.969 0.324
Li 0.969 0.750 0.824
Ca 0.250 0.750 0.250
Ca 0.750 0.250 0.750
Tl 0.016 0.250 0.464
Tl 0.250 0.016 0.964
Tl 0.250 0.484 0.964
Tl 0.484 0.250 0.464
Tl 0.516 0.750 0.536
Tl 0.750 0.516 0.036
Tl 0.750 0.984 0.036
Tl 0.984 0.750 0.536
! * calculated volume: 23.77 Å³ per atom
! * ΔE_f: -4.29 kcal/mol of atoms
! * SG: P4_2/nmc, No. 137
! * magnetization: 0.00 μB per cell

=====

11.
! Li2Ca3Tl7, relaxed, DFT GGA-PBE; values from VASP
&SYSTEM
  ibrav = 0, nat = 12, ntyp = 3
/
ATOMIC_SPECIES
Li 6.94 Li.upf
Ca 40.08 Ca.upf
Tl 204.38 Tl.upf
CELL_PARAMETERS angstrom
4.917 0.000 0.000
0.000 4.640 0.000
-2.272 0.000 14.628
ATOMIC_POSITIONS crystal
Li 0.122 0.000 0.263
Li 0.878 0.000 0.737
Ca 0.000 0.000 0.000
Ca 0.317 0.500 0.632
Ca 0.683 0.500 0.368
Tl 0.079 0.500 0.168
Tl 0.223 0.000 0.441
Tl 0.420 0.000 0.828
Tl 0.500 0.500 0.000
Tl 0.580 0.000 0.172
Tl 0.777 0.000 0.559
Tl 0.921 0.500 0.832
! * calculated volume: 27.81 Å³ per atom
! * ΔE_f: -5.05 kcal/mol of atoms
! * SG: P2/m, No. 10
! * magnetization: 0.00 μB per cell

=====

12.
! Li4Ca3Tl2, relaxed, DFT GGA-PBE; values from VASP
&SYSTEM
  ibrav = 0, nat = 9, ntyp = 3
/
ATOMIC_SPECIES
Li 6.94 Li.upf
Ca 40.08 Ca.upf
Tl 204.38 Tl.upf
CELL_PARAMETERS angstrom
5.335 -2.477 0.000
5.335 2.477 0.000
-2.354 0.000 8.890
ATOMIC_POSITIONS crystal
Li 0.085 0.085 0.159
Li 0.285 0.285 0.439
Li 0.715 0.715 0.561
Li 0.915 0.915 0.841
Ca 0.000 0.000 0.500
Ca 0.378 0.378 0.124
Ca 0.622 0.622 0.876
Tl 0.289 0.289 0.747
Tl 0.711 0.711 0.253
! * calculated volume: 26.11 Å³ per atom
! * ΔE_f: -5.05 kcal/mol of atoms
! * SG: C2/m, No. 12
! * magnetization: 0.00 μB per cell

=====

13.
! LiCa2Tl2, relaxed, DFT GGA-PBE; values from VASP
&SYSTEM
  ibrav = 0, nat = 10, ntyp = 3
/
ATOMIC_SPECIES
Li 6.94 Li.upf
Ca 40.08 Ca.upf
Tl 204.38 Tl.upf
CELL_PARAMETERS angstrom
4.669 0.000 0.000
0.000 6.442 0.000
0.000 0.000 9.720
ATOMIC_POSITIONS crystal
Li 0.000 0.000 0.000
Li 0.500 0.500 0.500
Ca 0.000 0.500 0.198
Ca 0.000 0.500 0.802
Ca 0.500 0.000 0.302
Ca 0.500 0.000 0.698
Tl 0.000 0.245 0.500
Tl 0.000 0.755 0.500
Tl 0.500 0.255 0.000
Tl 0.500 0.745 0.000
! * calculated volume: 29.24 Å³ per atom
! * ΔE_f: -7.18 kcal/mol of atoms
! * SG: Immm, No. 71
! * magnetization: 0.00 μB per cell
! * excess energy over the best structure of this formula in the dataset: 0.0000 eV/atom

=====

14.
! Li2Ca2Tl, relaxed, DFT GGA-PBE; values from VASP
&SYSTEM
  ibrav = 0, nat = 10, ntyp = 3
/
ATOMIC_SPECIES
Li 6.94 Li.upf
Ca 40.08 Ca.upf
Tl 204.38 Tl.upf
CELL_PARAMETERS angstrom
5.720 -2.607 0.000
5.720 2.607 0.000
-4.453 0.000 9.253
ATOMIC_POSITIONS crystal
Li 0.123 0.123 0.480
Li 0.364 0.364 0.939
Li 0.636 0.636 0.061
Li 0.877 0.877 0.520
Ca 0.062 0.062 0.860
Ca 0.315 0.315 0.316
Ca 0.685 0.685 0.684
Ca 0.938 0.938 0.140
Tl 0.392 0.392 0.680
Tl 0.608 0.608 0.320
! * calculated volume: 27.60 Å³ per atom
! * ΔE_f: -4.00 kcal/mol of atoms
! * SG: C2/m, No. 12
! * magnetization: 0.00 μB per cell
! * excess energy over the best structure of this formula in the dataset: 0.0366 eV/atom

=====

15.
! Li2CaTl, relaxed, DFT GGA-PBE; values from VASP
&SYSTEM
  ibrav = 0, nat = 16, ntyp = 3
/
ATOMIC_SPECIES
Li 6.94 Li.upf
Ca 40.08 Ca.upf
Tl 204.38 Tl.upf
CELL_PARAMETERS angstrom
7.085 0.000 0.000
0.000 7.085 0.000
0.000 0.000 7.085
ATOMIC_POSITIONS crystal
Li 0.250 0.250 0.250
Li 0.250 0.250 0.750
Li 0.250 0.750 0.250
Li 0.250 0.750 0.750
Li 0.750 0.250 0.250
Li 0.750 0.250 0.750
Li 0.750 0.750 0.250
Li 0.750 0.750 0.750
Ca 0.000 0.000 0.000
Ca 0.000 0.500 0.500
Ca 0.500 0.000 0.500
Ca 0.500 0.500 0.000
Tl 0.000 0.000 0.500
Tl 0.000 0.500 0.000
Tl 0.500 0.000 0.000
Tl 0.500 0.500 0.500
! * calculated volume: 22.23 Å³ per atom
! * ΔE_f: -5.66 kcal/mol of atoms
! * SG: Fm-3m, No. 225
! * magnetization: 0.00 μB per cell

=====

16.
! Li3CaTl, relaxed, DFT GGA-PBE; values from VASP
&SYSTEM
  ibrav = 0, nat = 5, ntyp = 3
/
ATOMIC_SPECIES
Li 6.94 Li.upf
Ca 40.08 Ca.upf
Tl 204.38 Tl.upf
CELL_PARAMETERS angstrom
3.997 0.000 0.000
0.012 4.754 0.000
1.992 2.346 6.613
ATOMIC_POSITIONS crystal
Li 0.000 0.000 0.000
Li 0.138 0.635 0.730
Li 0.665 0.166 0.672
Ca 0.384 0.382 0.235
Tl 0.792 0.791 0.420
! * calculated volume: 25.13 Å³ per atom
! * ΔE_f: -2.93 kcal/mol of atoms
! * SG: P1, No. 1
! * magnetization: 0.00 μB per cell
! * excess energy over the best structure of this formula in the dataset: 0.0468 eV/atom

=====

17.
! Li3CaTl2, relaxed, DFT GGA-PBE; values from VASP
&SYSTEM
  ibrav = 0, nat = 12, ntyp = 3
/
ATOMIC_SPECIES
Li 6.94 Li.upf
Ca 40.08 Ca.upf
Tl 204.38 Tl.upf
CELL_PARAMETERS angstrom
4.901 0.000 0.000
-2.451 4.245 0.000
0.000 0.000 13.428
ATOMIC_POSITIONS crystal
Li 0.000 0.000 0.000
Li 0.000 0.000 0.500
Li 0.333 0.667 0.092
Li 0.333 0.667 0.408
Li 0.667 0.333 0.592
Li 0.667 0.333 0.908
Ca 0.000 0.000 0.250
Ca 0.000 0.000 0.750
Tl 0.333 0.667 0.618
Tl 0.333 0.667 0.882
Tl 0.667 0.333 0.118
Tl 0.667 0.333 0.382
! * calculated volume: 23.28 Å³ per atom
! * ΔE_f: -5.78 kcal/mol of atoms
! * SG: P6_3/mmc, No. 194
! * magnetization: 0.00 μB per cell
! * excess energy over the best structure of this formula in the dataset: 0.0096 eV/atom

=====

18.
! Li3CaTl2, relaxed, DFT GGA-PBE; values from VASP
&SYSTEM
  ibrav = 0, nat = 12, ntyp = 3
/
ATOMIC_SPECIES
Li 6.94 Li.upf
Ca 40.08 Ca.upf
Tl 204.38 Tl.upf
CELL_PARAMETERS angstrom
7.228 -2.342 0.000
7.228 2.342 0.000
-5.051 0.000 8.162
ATOMIC_POSITIONS crystal
Li 0.046 0.046 0.383
Li 0.263 0.263 0.428
Li 0.421 0.421 0.321
Li 0.579 0.579 0.679
Li 0.737 0.737 0.572
Li 0.954 0.954 0.617
Ca 0.138 0.138 0.013
Ca 0.862 0.862 0.987
Tl 0.195 0.195 0.721
Tl 0.430 0.430 0.789
Tl 0.570 0.570 0.211
Tl 0.805 0.805 0.279
! * calculated volume: 23.02 Å³ per atom
! * ΔE_f: -6.00 kcal/mol of atoms
! * SG: C2/m, No. 12
! * magnetization: 0.00 μB per cell
! * excess energy over the best structure of this formula in the dataset: 0.0000 eV/atom

=====

19.
! Li3CaTl3, relaxed, DFT GGA-PBE; values from VASP
&SYSTEM
  ibrav = 0, nat = 14, ntyp = 3
/
ATOMIC_SPECIES
Li 6.94 Li.upf
Ca 40.08 Ca.upf
Tl 204.38 Tl.upf
CELL_PARAMETERS angstrom
7.330 0.000 0.000
0.000 7.330 0.000
0.000 0.000 7.330
ATOMIC_POSITIONS crystal
Li 0.000 0.250 0.500
Li 0.000 0.750 0.500
Li 0.250 0.500 0.000
Li 0.500 0.000 0.250
Li 0.500 0.000 0.750
Li 0.750 0.500 0.000
Ca 0.000 0.000 0.000
Ca 0.500 0.500 0.500
Tl 0.000 0.500 0.250
Tl 0.000 0.500 0.750
Tl 0.250 0.000 0.500
Tl 0.500 0.250 0.000
Tl 0.500 0.750 0.000
Tl 0.750 0.000 0.500
! * calculated volume: 28.13 Å³ per atom
! * ΔE_f: 2.06 kcal/mol of atoms
! * SG: Pm-3n, No. 223
! * magnetization: 0.00 μB per cell
! * excess energy over the best structure of this formula in the dataset: 0.2582 eV/atom

=====

20.
! Li9Ca3Tl2, relaxed, DFT GGA-PBE; values from VASP
&SYSTEM
  ibrav = 0, nat = 14, ntyp = 3
/
ATOMIC_SPECIES
Li 6.94 Li.upf
Ca 40.08 Ca.upf
Tl 204.38 Tl.upf
CELL_PARAMETERS angstrom
-2.437 4.967 7.006
2.437 -4.967 7.006
2.437 4.967 -7.006
ATOMIC_POSITIONS crystal
Li 0.000 0.000 0.000
Li 0.103 0.881 0.222
Li 0.176 0.321 0.855
Li 0.341 0.119 0.222
Li 0.466 0.321 0.145
Li 0.534 0.679 0.855
Li 0.659 0.881 0.778
Li 0.824 0.679 0.145
Li 0.897 0.119 0.778
Ca 0.181 0.681 0.500
Ca 0.500 0.000 0.500
Ca 0.819 0.319 0.500
Tl 0.221 0.500 0.721
Tl 0.779 0.500 0.279
! * calculated volume: 24.23 Å³ per atom
! * ΔE_f: -2.53 kcal/mol of atoms
! * SG: Immm, No. 71
! * magnetization: 0.00 μB per cell